Compound: Ba8In6O17
Source: the Alexandria database
Functional: GGA-PBEsol
Structure: relaxed

Values from the calculation:
Crystal system   monoclinic
Calculated total energy   -6.069 eV/atom

a = 14.9559 Å, b = 14.9559 Å, c = 6.1093 Å
α = 90.03°, β = 90.03°, γ = 156.35°
Fractional coordinates of all 31 atoms:
Ba 0.0372 0.4478 0.2662
Ba 0.1879 0.3247 0.2430
Ba 0.3247 0.1879 0.2430
Ba 0.4478 0.0372 0.2662
Ba 0.5522 0.9628 0.7338
Ba 0.6753 0.8121 0.7570
Ba 0.8121 0.6753 0.7570
Ba 0.9628 0.5522 0.7338
In 0.1308 0.4114 0.7743
In 0.2372 0.2372 0.7364
In 0.4114 0.1308 0.7743
In 0.5886 0.8692 0.2257
In 0.7628 0.7628 0.2636
In 0.8692 0.5886 0.2257
O 0.0000 0.0000 0.0000
O 0.0000 0.0000 0.5000
O 0.0239 0.6085 0.3053
O 0.1335 0.8665 0.0000
O 0.2461 0.3820 0.8100
O 0.3408 0.6592 0.0000
O 0.3629 0.6371 0.5000
O 0.3820 0.2461 0.8100
O 0.3915 0.9761 0.6947
O 0.5000 0.5000 0.5000
O 0.6085 0.0239 0.3053
O 0.6180 0.7539 0.1900
O 0.6371 0.3629 0.5000
O 0.6592 0.3408 0.0000
O 0.7539 0.6180 0.1900
O 0.8665 0.1335 0.0000
O 0.9761 0.3915 0.6947

Compound: RbSb2Pb
Source: the Alexandria database
Functional: GGA-PBEsol
Structure: relaxed

Values from the calculation:
Crystal system   tetragonal
Calculated total energy   -3.503 eV/atom

a = 9.0658 Å, b = 9.0658 Å, c = 6.6994 Å
α = 90.00°, β = 90.00°, γ = 90.00°
Fractional coordinates of all 16 atoms:
Rb 0.0000 0.0000 0.0000
Rb 0.0000 0.5000 0.2500
Rb 0.5000 0.0000 0.7500
Rb 0.5000 0.5000 0.5000
Sb 0.2085 0.2500 0.6250
Sb 0.2500 0.7085 0.8750
Sb 0.2500 0.7915 0.3750
Sb 0.2915 0.2500 0.1250
Sb 0.7085 0.7500 0.1250
Sb 0.7500 0.2085 0.3750
Sb 0.7500 0.2915 0.8750
Sb 0.7915 0.7500 0.6250
Pb 0.0000 0.0000 0.5000
Pb 0.0000 0.5000 0.7500
Pb 0.5000 0.0000 0.2500
Pb 0.5000 0.5000 0.0000

Compound: Hg5Au3
Source: the Alexandria database
Functional: GGA-PBEsol
Structure: relaxed

Values from the calculation:
Excess energy over the best structure of this formula in the dataset   0 meV/atom
Energy of formation from the pure elements   0.05 eV/atom
Crystal system   monoclinic
Calculated total energy   -1.776 eV/atom

a = 8.1041 Å, b = 8.1041 Å, c = 8.0565 Å
α = 96.50°, β = 96.50°, γ = 139.97°
Fractional coordinates of all 16 atoms:
Hg 0.0629 0.7093 0.8050
Hg 0.2120 0.4077 0.6450
Hg 0.2398 0.2398 0.9782
Hg 0.2907 0.9371 0.1950
Hg 0.4077 0.2120 0.6450
Hg 0.5923 0.7880 0.3550
Hg 0.7093 0.0629 0.8050
Hg 0.7602 0.7602 0.0218
Hg 0.7880 0.5923 0.3550
Hg 0.9371 0.2907 0.1950
Au 0.2012 0.2012 0.3311
Au 0.2493 0.7507 0.5000
Au 0.3339 0.6661 0.0000
Au 0.6661 0.3339 0.0000
Au 0.7507 0.2493 0.5000
Au 0.7988 0.7988 0.6689

Compound: Ga4Bi2O9
Source: the Alexandria database
Functional: GGA-PBEsol
Structure: relaxed

Values from the calculation:
Crystal system   orthorhombic
Calculated total energy   -6.302 eV/atom

a = 7.8804 Å, b = 8.3526 Å, c = 5.9256 Å
α = 90.00°, β = 90.00°, γ = 90.00°
Fractional coordinates of all 30 atoms:
Ga 0.0000 0.0000 0.2423
Ga 0.0000 0.0000 0.7577
Ga 0.1473 0.3354 0.0000
Ga 0.3527 0.8354 0.0000
Ga 0.5000 0.5000 0.2423
Ga 0.5000 0.5000 0.7577
Ga 0.6473 0.1646 0.0000
Ga 0.8527 0.6646 0.0000
Bi 0.1705 0.6721 0.5000
Bi 0.3295 0.1721 0.5000
Bi 0.6705 0.8279 0.5000
Bi 0.8295 0.3279 0.5000
O 0.0000 0.5000 0.0000
O 0.1266 0.2089 0.2588
O 0.1266 0.2089 0.7412
O 0.1320 0.9067 0.0000
O 0.1519 0.9351 0.5000
O 0.3481 0.4351 0.5000
O 0.3680 0.4067 0.0000
O 0.3734 0.7089 0.2588
O 0.3734 0.7089 0.7412
O 0.5000 0.0000 0.0000
O 0.6266 0.2911 0.2588
O 0.6266 0.2911 0.7412
O 0.6320 0.5933 0.0000
O 0.6519 0.5649 0.5000
O 0.8481 0.0649 0.5000
O 0.8680 0.0933 0.0000
O 0.8734 0.7911 0.2588
O 0.8734 0.7911 0.7412